# Sc2Fe12P7 | the Alexandria database | GGA-PBE | relaxed
data_Sc2Fe12P7
_cell_length_a 8.8643
_cell_length_b 8.8643
_cell_length_c 3.5839
_cell_angle_alpha 90.00
_cell_angle_beta 90.00
_cell_angle_gamma 120.00
_space_group_name_H-M_alt 'P -6'
_space_group_IT_number 174
loop_
_space_group_symop_operation_xyz
'x,y,z'
'-x+y,-x,-z'
'-y,x-y,z'
'x,y,-z'
'-x+y,-x,z'
'-y,x-y,-z'
loop_
_atom_site_label
_atom_site_type_symbol
_atom_site_fract_x
_atom_site_fract_y
_atom_site_fract_z
_atom_site_occupancy
Sc1 Sc 0.0000 0.0000 0.0000 1
Sc2 Sc 0.3333 0.6667 0.5000 1
Fe1 Fe 0.0519 0.2847 0.5000 1
Fe2 Fe 0.0955 0.7054 0.0000 1
Fe3 Fe 0.3890 0.1740 0.0000 1
Fe4 Fe 0.5452 0.4278 0.5000 1
P1 P 0.0828 0.4536 0.0000 1
P2 P 0.2597 0.2159 0.5000 1
P3 P 0.6667 0.3333 0.0000 1
# Crystal system: hexagonal
# Energy of formation: -0.728 eV per atom
# VASP energy: -7.97 eV/atom

***

# ScFeP2 | the Alexandria database | GGA-PBE | relaxed
data_ScFeP2
_cell_length_a 3.788
_cell_length_b 5.038
_cell_length_c 6.156
_cell_angle_alpha 90.00
_cell_angle_beta 90.00
_cell_angle_gamma 90.00
_space_group_name_H-M_alt 'C m m m'
_space_group_IT_number 65
_space_group_name_Hall '-C 2 2'
loop_
_atom_site_label
_atom_site_type_symbol
_atom_site_fract_x
_atom_site_fract_y
_atom_site_fract_z
_atom_site_occupancy
Sc1 Sc 0.000 0.000 0.000 1
Fe1 Fe 0.000 0.000 0.500 1
P1 P 0.000 0.500 0.289 1
# Energy above the most stable polymorph in this dataset: 7.186 kcal/mol of atoms
# Crystal system: orthorhombic
# Energy of formation: -0.471 eV per atom
# VASP energy: -6.87 eV/atom

***

# ScFeP | the Alexandria database | GGA-PBE | relaxed
data_ScFeP
_cell_length_a 6.064
_cell_length_b 6.064
_cell_length_c 6.064
_cell_angle_alpha 90.00
_cell_angle_beta 90.00
_cell_angle_gamma 90.00
_space_group_name_H-M_alt 'F -4 3 m'
_space_group_IT_number 216
_space_group_name_Hall 'F -4 2 3'
loop_
_atom_site_label
_atom_site_type_symbol
_atom_site_fract_x
_atom_site_fract_y
_atom_site_fract_z
_atom_site_occupancy
Sc1 Sc 0.000 0.000 0.000 1
Fe1 Fe 0.250 0.250 0.250 1
P1 P 0.250 0.250 0.750 1
# Crystal system: cubic
# Energy of formation: 0.137 eV per atom
# VASP energy: -6.60 eV/atom

***

What is the energy of formation in the second record? -0.471 eV per atom

***

Number 1 is which compound? Sc2Fe12P7